First-principles (PBE) data for a relaxed structure of BaHg2Ir2, as listed in the Alexandria database.

The structure belongs to space group I4/mmm (No. 139); the cell edges are 4.734, 4.734 and 10.901 Å and the angles 90.00°, 90.00° and 90.00°. The inequivalent atoms are Ba at (0.000, 0.000, 0.000), Hg at (0.000, 0.500, 0.250) and Ir at (0.000, 0.000, 0.391).

The total energy is -40.2 eV per cell. The value obtained for the formation enthalpy at 0 K is 27 meV per atom.

***

First-principles (PBE) data for a relaxed structure of Ba4HgIr, as listed in the Alexandria database.

The structure belongs to space group C2/c (No. 15); the cell edges are 17.661, 7.774 and 8.317 Å and the angles 90.00°, 107.91° and 90.00°. The inequivalent atoms are Ba at (0.102, 0.073, 0.484), Ba at (0.169, 0.446, 0.155), Hg at (0.000, 0.302, 0.750) and Ir at (0.250, 0.250, 0.500).

The total energy is -72.6 eV per cell. The value obtained for the formation enthalpy at 0 K is -216 meV per atom. For the energy above the most stable polymorph in this dataset, the calculation gives 22 meV/atom.

***

First-principles (PBE) data for a relaxed structure of Ba3HgIr, as listed in the Alexandria database.

The structure belongs to space group Pm-3m (No. 221); the cell edges are 6.086, 6.086 and 6.086 Å and the angles 90.00°, 90.00° and 90.00°. The inequivalent atoms are Ba at (0.000, 0.000, 0.500), Hg at (0.500, 0.500, 0.500) and Ir at (0.000, 0.000, 0.000).

The total energy is -15.8 eV per cell. The value obtained for the formation enthalpy at 0 K is -180 meV per atom. For the energy above the most stable polymorph in this dataset, the calculation gives 93 meV/atom.

***

First-principles (PBE) data for a relaxed structure of Ba4HgIr, as listed in the Alexandria database.

The structure belongs to space group F-43m (No. 216); the cell edges are 9.683, 9.683 and 9.683 Å and the angles 90.00°, 90.00° and 90.00°. The inequivalent atoms are Ba at (0.124, 0.124, 0.376), Hg at (0.000, 0.000, 0.000) and Ir at (0.250, 0.250, 0.750).

The total energy is -48.8 eV per cell. The value obtained for the formation enthalpy at 0 K is 776 meV per atom. For the energy above the most stable polymorph in this dataset, the calculation gives 1014 meV/atom.

***

First-principles (PBE) data for a relaxed structure of Ba6HgIr2, as listed in the Alexandria database.

The structure belongs to space group P-31m (No. 162); the cell edges are 7.9868, 7.9868 and 7.7281 Å and the angles 90.00°, 90.00° and 120.00°. The inequivalent atoms are Ba at (0.0000, 0.3578, 0.2213), Hg at (0.0000, 0.0000, 0.5000) and Ir at (0.3333, 0.6667, 0.0000).

The total energy is -31.5 eV per cell. The value obtained for the formation enthalpy at 0 K is -214 meV per atom. For the energy above the most stable polymorph in this dataset, the calculation gives 0 meV/atom.

***

First-principles (PBE) data for a relaxed structure of Ba2HgIr, as listed in the Alexandria database.

The structure belongs to space group R-3m (No. 166, hexagonal axes); the cell edges are 4.5845, 4.5845 and 25.1421 Å and the angles 90.00°, 90.00° and 120.00°. The inequivalent atoms are Ba at (0.0000, 0.0000, 0.2311), Hg at (0.0000, 0.0000, 0.0000) and Ir at (0.0000, 0.0000, 0.5000).

The total energy is -40.7 eV per cell. The value obtained for the formation enthalpy at 0 K is -141 meV per atom.